No. 1
Material: Li2ErCd10
Method: DFT, GGA-PBE
State: optimized geometry

Computed properties:
**Calculated total energy**: -19.43 eV/cell
**Magnetic moment**: 0.00 μB per formula unit
**Mass density**: 7.808 g cm⁻³

abc: 5.5428 7.5587 7.6421
angles: 82.36 68.74 68.49
With the nearest neighbours (Å) after each atom.
Fractional positions:
Cd 0.9853 0.3601 0.6693  2 Li 2.90, 6 Cd 3.08-3.13
Cd 0.2886 0.2207 0.2021  2 Li 2.80, 7 Cd 2.88-3.10
Cd 0.3454 0.6399 0.6693  2 Li 2.90, 6 Cd 3.08-3.13
Cd 0.4907 0.2207 0.7979  2 Li 2.80, 7 Cd 2.88-3.10
Cd 0.5093 0.7793 0.2021  2 Li 2.80, 7 Cd 2.88-3.10
Cd 0.5000 0.0000 0.5000  6 Cd 2.77-2.97
Cd 0.0000 0.0000 0.5000  6 Cd 2.77-2.97
Cd 0.7114 0.7793 0.7979  2 Li 2.80, 7 Cd 2.88-3.10
Cd 0.6546 0.3601 0.3307  2 Li 2.90, 6 Cd 3.08-3.13
Cd 0.0147 0.6399 0.3307  2 Li 2.90, 6 Cd 3.08-3.13
Li 0.5000 0.5000 0.0000  2 Li 2.77, 8 Cd 2.80-2.90
Li 0.0000 0.5000 0.0000  2 Li 2.77, 8 Cd 2.80-2.90
Er 0.0000 0.0000 0.0000  16 Cd 3.46-3.82, 4 Li 3.78


No. 2
Material: YNb2OsSe
Method: DFT, GGA-PBE
State: optimized geometry

Computed properties:
**Calculated total energy**: -38.88 eV/cell
**E_form (uncorrected)**: 47.1 kJ/mol of atoms
**Magnetic moment**: 0.00 μB per formula unit
**Mass density**: 8.426 g cm⁻³

abc: 4.7849 4.6819 4.7849
angles: 90.00 90.00 90.00
With the nearest neighbours (Å) after each atom.
Fractional positions:
Os 0.0000 0.5000 0.0000  2 Se 2.34
Nb 0.5000 0.0000 0.0000  2 Se 2.39
Nb 0.0000 0.0000 0.5000  2 Se 2.39
Se 0.0000 0.0000 0.0000  2 Os 2.34, 4 Nb 2.39
Y 0.5000 0.5000 0.5000  8 Nb 3.35, 4 Os 3.38


No. 3
Material: SiOs3Rh
Method: DFT, GGA-PBE
State: optimized geometry

Computed properties:
**Calculated total energy**: -33.67 eV/cell
**E_form (uncorrected)**: 246.9 kJ/mol of atoms
**Magnetic moment**: 0.00 μB per formula unit
**E above lowest polymorph**: 1.257 eV/atom
**Mass density**: 11.506 g cm⁻³

abc: 4.6611 4.6611 4.6611
angles: 90.00 90.00 90.00
With the nearest neighbours (Å) after each atom.
Fractional positions:
Si 0.5000 0.5000 0.5000  12 Os 3.30
Os 0.5000 0.0000 0.0000  2 Rh 2.33
Os 0.0000 0.5000 0.0000  2 Rh 2.33
Os 0.0000 0.0000 0.5000  2 Rh 2.33
Rh 0.0000 0.0000 0.0000  6 Os 2.33


No. 4
Material: CsLiSmI5
Method: DFT, GGA-PBE
State: optimized geometry

Computed properties:
**Calculated total energy**: -52.70 eV/cell
**E_form (uncorrected)**: -134.0 kJ/mol of atoms
**Magnetic moment**: 0.00 μB per formula unit
**Mass density**: 3.882 g cm⁻³

abc: 8.7542 8.7542 11.7326
angles: 103.61 103.61 106.76
With the nearest neighbours (Å) after each atom.
Fractional positions:
Li 0.3072 0.6928 0.7500  4 I 2.79-2.85
Li 0.6928 0.3072 0.2500  4 I 2.79-2.85
Sm 0.0000 0.0000 0.0000  6 I 3.09-3.10
Sm 0.0000 0.0000 0.5000  6 I 3.09-3.10
Cs 0.3466 0.6534 0.2500  5 I 3.86-3.88
Cs 0.6534 0.3466 0.7500  5 I 3.86-3.88
I 0.7662 0.6270 0.4256  1 Li 2.85, 1 Sm 3.09
I 0.9278 0.0722 0.7500  2 Sm 3.10
I 0.3730 0.2338 0.0744  1 Li 2.85, 1 Sm 3.09
I 0.9007 0.3041 0.1024  1 Li 2.79, 1 Sm 3.10
I 0.0993 0.6959 0.8976  1 Li 2.79, 1 Sm 3.10
I 0.2338 0.3730 0.5744  1 Li 2.85, 1 Sm 3.09
I 0.6959 0.0993 0.3976  1 Li 2.79, 1 Sm 3.10
I 0.3041 0.9007 0.6024  1 Li 2.79, 1 Sm 3.10
I 0.6270 0.7662 0.9256  1 Li 2.85, 1 Sm 3.09
I 0.0722 0.9278 0.2500  2 Sm 3.10


No. 5
Material: Cs2Y2HfS6
Method: DFT, GGA-PBE
State: optimized geometry

Computed properties:
**Calculated total energy**: -69.27 eV/cell
**E_form (uncorrected)**: -174.7 kJ/mol of atoms
**Magnetic moment**: 0.00 μB per formula unit
**Mass density**: 4.065 g cm⁻³

abc: 6.8139 6.8139 8.5800
angles: 97.93 97.93 119.69
With the nearest neighbours (Å) after each atom.
Fractional positions:
S 0.9389 0.6251 0.3238  1 Hf 2.59, 2 Y 2.76
S 0.6251 0.9389 0.3238  1 Hf 2.59, 2 Y 2.76
S 0.0611 0.3749 0.6762  1 Hf 2.59, 2 Y 2.76
S 0.2525 0.2525 0.3250  1 Hf 2.58, 2 Y 2.75
S 0.3749 0.0611 0.6762  1 Hf 2.59, 2 Y 2.76
S 0.7475 0.7475 0.6750  1 Hf 2.58, 2 Y 2.75
Cs 0.8306 0.1694 0.0000  6 S 3.48-3.56
Cs 0.1694 0.8306 0.0000  6 S 3.48-3.56
Y 0.3332 0.6668 0.5000  6 S 2.75-2.76
Y 0.6668 0.3332 0.5000  6 S 2.75-2.76
Hf 0.0000 0.0000 0.5000  6 S 2.58-2.59


No. 6
Material: Eu2CoHg
Method: DFT, GGA-PBE
State: optimized geometry

Computed properties:
**Calculated total energy**: -28.37 eV/cell
**Magnetic moment**: 13.27 μB per formula unit
**Mass density**: 9.311 g cm⁻³

abc: 3.6170 3.6170 7.6811
angles: 90.00 90.00 90.00
With the nearest neighbours (Å) after each atom.
Fractional positions:
Eu 0.0000 0.0000 0.2190  4 Co 3.06, 4 Hg 3.35, 1 Eu 3.36
Eu 0.0000 0.0000 0.7810  4 Co 3.06, 4 Hg 3.35, 1 Eu 3.36
Co 0.5000 0.5000 0.0000  8 Eu 3.06
Hg 0.5000 0.5000 0.5000  8 Eu 3.35, 4 Hg 3.62


No. 7
Material: TbDyTlHg
Method: DFT, GGA-PBE
State: optimized geometry

Computed properties:
**Calculated total energy**: -13.55 eV/cell
**Magnetic moment**: 0.60 μB per formula unit
**Mass density**: 11.279 g cm⁻³

abc: 5.3278 5.3278 5.3278
angles: 60.00 60.00 60.00
With the nearest neighbours (Å) after each atom.
Fractional positions:
Hg 0.5000 0.5000 0.5000  4 Dy 3.26, 4 Tb 3.26
Tl 0.0000 0.0000 0.0000  4 Tb 3.26, 4 Dy 3.26
Dy 0.7500 0.7500 0.7500  4 Hg 3.26, 4 Tl 3.26
Tb 0.2500 0.2500 0.2500  4 Hg 3.26, 4 Tl 3.26


No. 8
Material: CaYIn2
Method: DFT, GGA-PBE
State: optimized geometry

Computed properties:
**Calculated total energy**: -28.68 eV/cell
**Magnetic moment**: 0.00 μB per formula unit
**Mass density**: 4.822 g cm⁻³

abc: 8.3915 8.3915 6.8929
angles: 52.50 52.50 90.00
With the nearest neighbours (Å) after each atom.
Fractional positions:
In 0.1233 0.6250 0.2500  2 Y 3.08, 2 Ca 3.10
In 0.6267 0.1250 0.2500  2 Y 3.08, 2 Ca 3.10
In 0.3750 0.3733 0.7500  2 Y 3.08, 2 Ca 3.10
In 0.8750 0.8767 0.7500  2 Y 3.08, 2 Ca 3.10
Ca 0.2500 0.7500 0.5000  4 In 3.10
Ca 0.5000 0.5000 0.0000  4 In 3.10
Y 0.7500 0.2500 0.5000  4 In 3.08
Y 0.0000 0.0000 0.0000  4 In 3.08